# Sr2NiCl

A PBEsol-optimized structure of Sr2NiCl (meta-GGA SCAN, the Alexandria database).

Output
energy above the lowest structure with this stoichiometry: 0.0 kJ/mol of atoms
formation energy (no corrections): -0.830 eV per atom
mass density: 4.13 g/cm³
crystal system: tetragonal

```
Sr2NiCl
1.0
4.2632 0.0000 0.0000
0.0000 4.2632 0.0000
0.0000 0.0000 5.9653
Sr Ni Cl
2 1 1
Direct
0.0000 0.0000 0.0000 Sr
0.5000 0.5000 0.5000 Sr
0.0000 0.0000 0.5000 Ni
0.5000 0.5000 0.0000 Cl
```